Below is BeIn2Te after structural relaxation, with properties calculated at the PBE-GGA level.

Output
energy relative to the elements, uncorrected: 0.410 eV per atom
E above lowest polymorph: 346.9 meV per atom
uncorrected energy: -2.6766 eV/atom

a = 4.0858 Å, b = 4.0858 Å, c = 6.0320 Å
α = 90.00°, β = 90.00°, γ = 90.00°
Closest atoms and distances in Å follow each position.
Space group P4/mmm (No. 123)
Inequivalent atoms, fractional coordinates:
Be 0.0000 0.0000 0.0000 (multiplicity 1)  4 Te 2.89
In 0.0000 0.5000 0.5000 (multiplicity 2)  4 In 2.89
Te 0.5000 0.5000 0.0000 (multiplicity 1)  4 Be 2.89